# 1
Crystalline AcAl4Se8 at its relaxed geometry, computed with PBE.

## Properties
- crystal system = cubic
- electronic total energy (eV per cell) = -229.55
- Fermi-level density of states (states/eV per cell) = 44.81

a = 11.154 Å, b = 11.154 Å, c = 11.154 Å
α = 90.00°, β = 90.00°, γ = 90.00°
Space group F-43m (No. 216)
Unique sites:
Ac 0.000 0.000 0.000 [4 per cell]
Al 0.114 0.114 0.614 [16 per cell]
Se 0.116 0.116 0.384 [16 per cell]
Se 0.148 0.148 0.852 [16 per cell]


# 2
Crystalline Ac3AlSe6 at its relaxed geometry, computed with PBE.

## Properties
- crystal system = orthorhombic
- electronic total energy (eV per cell) = -218.44
- Fermi-level density of states (states/eV per cell) = 0.00

a = 12.031 Å, b = 14.973 Å, c = 7.214 Å
α = 90.00°, β = 90.00°, γ = 90.00°
Space group Cmc2_1 (No. 36)
Unique sites:
Ac 0.000 0.105 0.000 [4 per cell]
Ac 0.185 0.398 0.071 [8 per cell]
Al 0.000 0.304 0.621 [4 per cell]
Se 0.000 0.285 0.287 [4 per cell]
Se 0.000 0.457 0.747 [4 per cell]
Se 0.159 0.240 0.775 [8 per cell]
Se 0.160 0.021 0.287 [8 per cell]


# 3
Crystalline Ac2AlSnSe6 at its relaxed geometry, computed with PBE.

## Properties
- crystal system = monoclinic
- electronic total energy (eV per cell) = -99.23
- Fermi-level density of states (states/eV per cell) = 9.92

a = 6.999 Å, b = 7.768 Å, c = 12.315 Å
α = 90.00°, β = 124.34°, γ = 90.00°
Space group P2_1/c (No. 14)
Unique sites:
Ac 0.212 0.104 0.252 [4 per cell]
Al 0.500 0.000 0.000 [2 per cell]
Sn 0.000 0.000 0.500 [2 per cell]
Se 0.144 0.171 0.951 [4 per cell]
Se 0.278 0.695 0.946 [4 per cell]
Se 0.379 0.019 0.764 [4 per cell]


# 4
Crystalline Ac3AlTl4Se8 at its relaxed geometry, computed with PBE.

## Properties
- crystal system = monoclinic
- electronic total energy (eV per cell) = -144.03
- Fermi-level density of states (states/eV per cell) = 1.01

a = 15.260 Å, b = 8.808 Å, c = 9.276 Å
α = 90.00°, β = 123.29°, γ = 90.00°
Space group C2/m (No. 12)
Unique sites:
Ac 0.000 0.000 0.000 [2 per cell]
Ac 0.250 0.250 0.000 [4 per cell]
Al 0.000 0.500 0.000 [2 per cell]
Tl 0.000 0.000 0.500 [2 per cell]
Tl 0.000 0.500 0.500 [2 per cell]
Tl 0.250 0.250 0.500 [4 per cell]
Se 0.006 0.279 0.798 [8 per cell]
Se 0.216 0.500 0.203 [4 per cell]
Se 0.241 0.000 0.223 [4 per cell]


# 5
Crystalline Ac2AlVSe6 at its relaxed geometry, computed with PBE.

## Properties
- crystal system = monoclinic
- electronic total energy (eV per cell) = -111.16
- Fermi-level density of states (states/eV per cell) = 10.96

a = 6.862 Å, b = 7.415 Å, c = 12.049 Å
α = 90.00°, β = 124.57°, γ = 90.00°
Space group P2_1/c (No. 14)
Unique sites:
Ac 0.217 0.097 0.251 [4 per cell]
Al 0.500 0.000 0.000 [2 per cell]
V 0.000 0.000 0.500 [2 per cell]
Se 0.144 0.189 0.957 [4 per cell]
Se 0.268 0.692 0.956 [4 per cell]
Se 0.343 0.002 0.750 [4 per cell]


# 6
Crystalline Ac2YAlSe6 at its relaxed geometry, computed with PBE.

## Properties
- crystal system = trigonal
- electronic total energy (eV per cell) = -166.55
- Fermi-level density of states (states/eV per cell) = 0.00

a = 7.4240 Å, b = 7.4240 Å, c = 17.9783 Å
α = 90.00°, β = 90.00°, γ = 120.00°
Space group R3 (No. 146, hexagonal axes)
Unique sites:
Ac 0.0000 0.0000 0.0000 [3 per cell]
Ac 0.0000 0.0000 0.4981 [3 per cell]
Y 0.0000 0.0000 0.7740 [3 per cell]
Al 0.0000 0.0000 0.2757 [3 per cell]
Se 0.0275 0.6065 0.0287 [9 per cell]
Se 0.0799 0.3410 0.8686 [9 per cell]


# 7
Crystalline Ac3Al3Si2 at its relaxed geometry, computed with PBE.

## Properties
- crystal system = orthorhombic
- electronic total energy (eV per cell) = -153.06
- Fermi-level density of states (states/eV per cell) = 18.47

a = 4.265 Å, b = 12.146 Å, c = 16.764 Å
α = 90.00°, β = 90.00°, γ = 90.00°
Space group Cmcm (No. 63)
Unique sites:
Ac 0.000 0.042 0.250 [4 per cell]
Ac 0.000 0.343 0.090 [8 per cell]
Al 0.000 0.066 0.058 [8 per cell]
Al 0.000 0.235 0.750 [4 per cell]
Si 0.000 0.365 0.621 [8 per cell]


# 8
Crystalline AcAlSi2 at its relaxed geometry, computed with PBE.

## Properties
- crystal system = trigonal
- Fermi-level density of states (states/eV per cell) = 6.93
- offset from the most stable computed form (kJ/mol of formula units) = 6

a = 4.3733 Å, b = 4.3733 Å, c = 16.1763 Å
α = 90.00°, β = 90.00°, γ = 120.00°
Space group R-3m (No. 166, hexagonal axes)
Unique sites:
Ac 0.0000 0.0000 0.0000 [3 per cell]
Al 0.0000 0.0000 0.5000 [3 per cell]
Si 0.0000 0.0000 0.2041 [6 per cell]


# 9
Crystalline AcAl4Si2 at its relaxed geometry, computed with PBE.

## Properties
- crystal system = orthorhombic
- electronic total energy (eV per cell) = -62.75
- Fermi-level density of states (states/eV per cell) = 8.24

a = 4.282 Å, b = 14.970 Å, c = 4.240 Å
α = 90.00°, β = 90.00°, γ = 90.00°
Space group Cmmm (No. 65)
Unique sites:
Ac 0.000 0.000 0.000 [2 per cell]
Al 0.000 0.186 0.500 [4 per cell]
Al 0.000 0.309 0.000 [4 per cell]
Si 0.000 0.419 0.500 [4 per cell]


# 10
Crystalline Ac3AlSi2 at its relaxed geometry, computed with PBE.

## Properties
- crystal system = orthorhombic
- Fermi-level density of states (states/eV per cell) = 14.87
- offset from the most stable computed form (kJ/mol of formula units) = 0

a = 12.556 Å, b = 4.385 Å, c = 13.044 Å
α = 90.00°, β = 90.00°, γ = 90.00°
Space group Pnma (No. 62)
Unique sites:
Ac 0.072 0.250 0.115 [4 per cell]
Ac 0.118 0.750 0.556 [4 per cell]
Ac 0.190 0.250 0.790 [4 per cell]
Al 0.135 0.250 0.365 [4 per cell]
Si 0.042 0.750 0.314 [4 per cell]
Si 0.194 0.750 0.974 [4 per cell]


# 11
Crystalline Ac2Al3Si4 at its relaxed geometry, computed with PBE.

## Properties
- crystal system = orthorhombic
- electronic total energy (eV per cell) = -176.40
- Fermi-level density of states (states/eV per cell) = 14.28

a = 6.202 Å, b = 15.390 Å, c = 7.976 Å
α = 90.00°, β = 90.00°, γ = 90.00°
Space group Cmce (No. 64)
Unique sites:
Ac 0.000 0.112 0.087 [8 per cell]
Al 0.000 0.000 0.500 [4 per cell]
Al 0.250 0.216 0.750 [8 per cell]
Si 0.000 0.189 0.454 [8 per cell]
Si 0.250 0.053 0.750 [8 per cell]


# 12
Crystalline Ac4Al5Si2 at its relaxed geometry, computed with PBE.

## Properties
- crystal system = monoclinic
- electronic total energy (eV per cell) = -50.32
- Fermi-level density of states (states/eV per cell) = 6.65

a = 7.294 Å, b = 4.904 Å, c = 8.349 Å
α = 90.00°, β = 94.83°, γ = 90.00°
Space group P2/m (No. 10)
Unique sites:
Ac 0.214 0.000 0.146 [2 per cell]
Ac 0.256 0.000 0.627 [2 per cell]
Al 0.125 0.500 0.889 [2 per cell]
Al 0.416 0.500 0.355 [2 per cell]
Al 0.500 0.500 0.000 [1 per cell]
Si 0.070 0.500 0.377 [2 per cell]


# 13
Crystalline AcAl3Si3 at its relaxed geometry, computed with PBE.

## Properties
- crystal system = trigonal
- Fermi-level density of states (states/eV per cell) = 7.56
- offset from the most stable computed form (kJ/mol of formula units) = 0

a = 7.2426 Å, b = 7.2426 Å, c = 22.2814 Å
α = 90.00°, β = 90.00°, γ = 120.00°
Space group R-3 (No. 148, hexagonal axes)
Unique sites:
Ac 0.0000 0.0000 0.1661 [6 per cell]
Al 0.0008 0.3366 0.6249 [18 per cell]
Si 0.0002 0.3272 0.4089 [18 per cell]


# 14
Crystalline Ac5Al2Si5 at its relaxed geometry, computed with PBE.

## Properties
- crystal system = monoclinic
- electronic total energy (eV per cell) = -121.85
- Fermi-level density of states (states/eV per cell) = 13.13

a = 15.809 Å, b = 4.342 Å, c = 12.024 Å
α = 90.00°, β = 126.84°, γ = 90.00°
Space group C2/m (No. 12)
Unique sites:
Ac 0.000 0.000 0.000 [2 per cell]
Ac 0.129 0.500 0.825 [4 per cell]
Ac 0.181 0.500 0.579 [4 per cell]
Al 0.116 0.500 0.261 [4 per cell]
Si 0.000 0.000 0.500 [2 per cell]
Si 0.068 0.000 0.325 [4 per cell]
Si 0.199 0.500 0.138 [4 per cell]


# 15
Crystalline Ac5AlSi2 at its relaxed geometry, computed with PBE.

## Properties
- crystal system = tetragonal
- electronic total energy (eV per cell) = -152.64
- Fermi-level density of states (states/eV per cell) = 26.12

a = 8.297 Å, b = 8.297 Å, c = 15.472 Å
α = 90.00°, β = 90.00°, γ = 90.00°
Space group I4/mcm (No. 140)
Unique sites:
Ac 0.000 0.000 0.000 [4 per cell]
Ac 0.177 0.323 0.142 [16 per cell]
Al 0.000 0.000 0.250 [4 per cell]
Si 0.112 0.388 0.500 [8 per cell]


# 16
Crystalline Ac3AlSi4 at its relaxed geometry, computed with PBE.

## Properties
- crystal system = orthorhombic
- electronic total energy (eV per cell) = -82.57
- Fermi-level density of states (states/eV per cell) = 7.28

a = 4.820 Å, b = 5.877 Å, c = 15.937 Å
α = 90.00°, β = 90.00°, γ = 90.00°
Space group Immm (No. 71)
Unique sites:
Ac 0.000 0.000 0.000 [2 per cell]
Ac 0.000 0.500 0.189 [4 per cell]
Al 0.000 0.000 0.500 [2 per cell]
Si 0.000 0.300 0.380 [8 per cell]


# 17
Crystalline Ac6AlSi2 at its relaxed geometry, computed with PBE.

## Properties
- crystal system = orthorhombic
- electronic total energy (eV per cell) = -168.83
- Fermi-level density of states (states/eV per cell) = 28.01

a = 10.508 Å, b = 10.803 Å, c = 11.065 Å
α = 90.00°, β = 90.00°, γ = 90.00°
Space group Immm (No. 71)
Unique sites:
Ac 0.000 0.200 0.242 [8 per cell]
Ac 0.206 0.500 0.177 [8 per cell]
Ac 0.229 0.322 0.500 [8 per cell]
Al 0.000 0.000 0.000 [2 per cell]
Al 0.000 0.000 0.500 [2 per cell]
Si 0.000 0.377 0.000 [4 per cell]
Si 0.000 0.500 0.391 [4 per cell]


# 18
Crystalline AcAl2Si at its relaxed geometry, computed with PBE.

## Properties
- crystal system = trigonal
- Fermi-level density of states (states/eV per cell) = 10.70
- offset from the most stable computed form (kJ/mol of formula units) = 60

a = 4.4181 Å, b = 4.4181 Å, c = 16.9008 Å
α = 90.00°, β = 90.00°, γ = 120.00°
Space group R-3m (No. 166, hexagonal axes)
Unique sites:
Ac 0.0000 0.0000 0.0000 [3 per cell]
Al 0.0000 0.0000 0.2053 [6 per cell]
Si 0.0000 0.0000 0.5000 [3 per cell]


# 19
Crystalline Ac3Al3Si at its relaxed geometry, computed with PBE.

## Properties
- crystal system = monoclinic
- electronic total energy (eV per cell) = -126.09
- Fermi-level density of states (states/eV per cell) = 20.23

a = 12.144 Å, b = 4.562 Å, c = 15.241 Å
α = 90.00°, β = 108.23°, γ = 90.00°
Space group C2/m (No. 12)
Unique sites:
Ac 0.009 0.000 0.387 [4 per cell]
Ac 0.113 0.000 0.920 [4 per cell]
Ac 0.237 0.000 0.232 [4 per cell]
Al 0.029 0.500 0.234 [4 per cell]
Al 0.093 0.500 0.076 [4 per cell]
Al 0.181 0.500 0.540 [4 per cell]
Si 0.219 0.500 0.381 [4 per cell]